{
  "formula": "ZrU3N6",
  "functional": "GGA-PBE",
  "state": "relaxed",
  "mass_density_g_cm3": 10.66,
  "e_form_raw_ev_per_atom": -1.285,
  "dft_energy_ev_per_atom": -10.522,
  "lattice": [[5.676, 0.000, 0.000], [0.000, 5.888, 0.000], [-5.635, 0.000, 8.293]],
  "species": ["Zr", "Zr", "U", "U", "U", "U", "U", "U", "N", "N", "N", "N", "N", "N", "N", "N", "N", "N", "N", "N"],
  "frac_coords": [[0.000, 0.000, 0.000], [0.000, 0.500, 0.500], [0.274, 0.058, 0.759], [0.274, 0.442, 0.259], [0.500, 0.000, 0.500], [0.500, 0.500, 0.000], [0.726, 0.558, 0.741], [0.726, 0.942, 0.241], [0.096, 0.071, 0.246], [0.096, 0.429, 0.746], [0.276, 0.685, 0.083], [0.276, 0.815, 0.583], [0.388, 0.185, 0.068], [0.388, 0.315, 0.568], [0.612, 0.685, 0.432], [0.612, 0.815, 0.932], [0.724, 0.185, 0.417], [0.724, 0.315, 0.917], [0.904, 0.571, 0.254], [0.904, 0.929, 0.754]]
}